*i*
VASP calculation (GGA-PBE) on an optimized crystal structure of KW2Se2.

It has space group I4/mmm (No. 139), with a = 3.961 Å, b = 3.961 Å, c = 14.618 Å, α = 90.00°, β = 90.00° and γ = 90.00°. The asymmetric unit holds K at (0.000, 0.000, 0.000), W at (0.000, 0.500, 0.250) and Se at (0.000, 0.000, 0.364).

=====

*ii*
VASP calculation (GGA-PBE) on an optimized crystal structure of KW2Se2.

It has space group P4/mbm (No. 127), with a = 8.441 Å, b = 8.441 Å, c = 3.173 Å, α = 90.00°, β = 90.00° and γ = 90.00°. The asymmetric unit holds K at (0.000, 0.000, 0.000), W at (0.096, 0.404, 0.500) and Se at (0.158, 0.658, 0.000).

=====

Name the least stable of them. *ii*.

=====

*i*
VASP calculation (GGA-PBE) on an optimized crystal structure of KYSe4.

It has space group F-43m (No. 216), with a = 8.463 Å, b = 8.463 Å, c = 8.463 Å, α = 90.00°, β = 90.00° and γ = 90.00°. The asymmetric unit holds K at (0.000, 0.000, 0.000), Y at (0.250, 0.250, 0.250) and Se at (0.124, 0.124, 0.624).

=====

*ii*
VASP calculation (GGA-PBE) on an optimized crystal structure of KYSe4.

It has space group P4/nbm (No. 125, origin choice 2), with a = 6.280 Å, b = 6.280 Å, c = 8.400 Å, α = 90.00°, β = 90.00° and γ = 90.00°. The asymmetric unit holds K at (0.250, 0.250, 0.000), Y at (0.250, 0.250, 0.500) and Se at (0.113, 0.613, 0.293).

=====

Name the least stable of them. *i*.

=====

*i*
VASP calculation (GGA-PBE) on an optimized crystal structure of K3YSe.

It has space group Pm-3m (No. 221), with a = 6.334 Å, b = 6.334 Å, c = 6.334 Å, α = 90.00°, β = 90.00° and γ = 90.00°. The asymmetric unit holds K at (0.000, 0.000, 0.500), Y at (0.500, 0.500, 0.500) and Se at (0.000, 0.000, 0.000).

=====

*ii*
VASP calculation (GGA-PBE) on an optimized crystal structure of K3YSe.

It has space group Pm-3m (No. 221), with a = 6.682 Å, b = 6.682 Å, c = 6.682 Å, α = 90.00°, β = 90.00° and γ = 90.00°. The asymmetric unit holds K at (0.000, 0.000, 0.500), Y at (0.000, 0.000, 0.000) and Se at (0.500, 0.500, 0.500).

=====

Name the least stable of them. *ii*.